Entry 1:
Entry from the Alexandria database: a relaxed PmSm2Dy6Y3 crystal (PBE). Values from VASP.

Values from the calculation:
* energy relative to the elements: 1.7 kJ/mol of atoms
* D(E_F): 16.38 states/eV per cell
* energy: -5.082 eV/atom

Structure (Quantum ESPRESSO input):
```
&SYSTEM
  ibrav = 0, nat = 12, ntyp = 4
/
ATOMIC_SPECIES
Pm 145.00 Pm.upf
Sm 150.36 Sm.upf
Dy 162.50 Dy.upf
Y 88.91 Y.upf
CELL_PARAMETERS angstrom
3.096 -5.359 0.000
3.096 5.359 0.000
-2.053 0.000 11.657
ATOMIC_POSITIONS crystal
Pm 0.000 0.000 0.000
Sm 0.333 0.667 0.000
Sm 0.667 0.333 0.000
Dy 0.085 0.418 0.252
Dy 0.249 0.249 0.748
Dy 0.418 0.085 0.252
Dy 0.582 0.915 0.748
Dy 0.751 0.751 0.252
Dy 0.915 0.582 0.748
Y 0.167 0.833 0.500
Y 0.500 0.500 0.500
Y 0.833 0.167 0.500
```



Entry 2:
Entry from the Alexandria database: a relaxed Pm4Sm2Dy2Y crystal (PBE). Values from VASP.

Values from the calculation:
* energy relative to the elements: 1.7 kJ/mol of atoms
* D(E_F): 13.77 states/eV per cell
* energy: -4.884 eV/atom

Structure (Quantum ESPRESSO input):
```
&SYSTEM
  ibrav = 0, nat = 9, ntyp = 4
/
ATOMIC_SPECIES
Pm 145.00 Pm.upf
Sm 150.36 Sm.upf
Dy 162.50 Dy.upf
Y 88.91 Y.upf
CELL_PARAMETERS angstrom
7.676 -2.557 0.000
7.676 2.557 0.000
-2.565 0.000 7.648
ATOMIC_POSITIONS crystal
Pm 0.055 0.055 0.332
Pm 0.278 0.278 0.668
Pm 0.722 0.722 0.332
Pm 0.945 0.945 0.668
Sm 0.388 0.388 0.332
Sm 0.612 0.612 0.668
Dy 0.167 0.167 0.000
Dy 0.833 0.833 0.000
Y 0.500 0.500 0.000
```